Entry 1:
Entry from Alexandria: a geometry-optimized HfMg2CrIr structure (PBE).

a = 4.718 Å, b = 4.496 Å, c = 4.718 Å
α = 90.00°, β = 90.00°, γ = 90.00°
Fractional positions:
1 Cr 0.000 0.000 0.000
2 Mg 0.000 0.000 0.500
3 Mg 0.500 0.000 0.000
4 Ir 0.000 0.500 0.000
5 Hf 0.500 0.500 0.500

## Properties
calculated formation energy: 788.9 meV/atom
symmetry: No. 123

Entry 2:
Entry from Alexandria: a geometry-optimized ZnAsAu2 structure (PBE).

a = 8.663 Å, b = 8.663 Å, c = 8.663 Å
α = 20.73°, β = 20.73°, γ = 20.73°
Fractional positions:
1 As 0.750 0.750 0.750
2 Au 0.996 0.996 0.996
3 Au 0.504 0.504 0.504
4 Zn 0.250 0.250 0.250

## Properties
calculated formation energy: 58.2 meV/atom
ΔE to the lowest computed polymorph: 44 meV per atom
symmetry: No. 166

Entry 3:
Entry from Alexandria: a geometry-optimized RbNpAlSe4 structure (PBE).

a = 6.747 Å, b = 6.964 Å, c = 9.542 Å
α = 90.00°, β = 108.91°, γ = 90.00°
Fractional positions:
1 Rb 0.748 0.750 0.946
2 Rb 0.252 0.250 0.054
3 Np 0.776 0.750 0.449
4 Np 0.224 0.250 0.551
5 Al 0.231 0.750 0.338
6 Al 0.769 0.250 0.662
7 Se 0.017 0.510 0.700
8 Se 0.983 0.010 0.300
9 Se 0.983 0.490 0.300
10 Se 0.017 0.990 0.700
11 Se 0.432 0.750 0.177
12 Se 0.568 0.250 0.823
13 Se 0.462 0.750 0.585
14 Se 0.538 0.250 0.415

## Properties
formation energy (no corrections): -1.06 eV per atom
symmetry: No. 11

Entry 4:
Entry from Alexandria: a geometry-optimized InNiPd3 structure (PBE).

a = 4.917 Å, b = 4.917 Å, c = 4.917 Å
α = 90.00°, β = 90.00°, γ = 90.00°
Fractional positions:
1 Ni 0.500 0.500 0.500
2 Pd 0.000 0.500 0.000
3 Pd 0.000 0.000 0.500
4 Pd 0.500 0.000 0.000
5 In 0.000 0.000 0.000

## Properties
calculated formation energy: 1060.4 meV/atom
ΔE to the lowest computed polymorph: 603 meV per atom
symmetry: No. 221

Entry 5:
Entry from Alexandria: a geometry-optimized SmBe4SiPt2 structure (PBE).

a = 3.943 Å, b = 3.943 Å, c = 8.626 Å
α = 76.79°, β = 76.79°, γ = 60.00°
Fractional positions:
1 Sm 0.000 0.000 0.000
2 Be 0.411 0.411 0.768
3 Be 0.875 0.875 0.375
4 Be 0.125 0.125 0.625
5 Be 0.589 0.589 0.232
6 Si 0.500 0.500 0.500
7 Pt 0.764 0.764 0.708
8 Pt 0.236 0.236 0.292

## Properties
formation energy (no corrections): -0.41 eV per atom
symmetry: No. 166

Entry 6:
Entry from Alexandria: a geometry-optimized AgIO4 structure (PBE).

a = 3.251 Å, b = 5.370 Å, c = 10.907 Å
α = 106.80°, β = 90.00°, γ = 90.00°
Fractional positions:
1 Ag 0.500 0.250 0.750
2 Ag 0.500 0.750 0.250
3 I 0.000 0.500 0.500
4 I 0.000 0.000 0.000
5 O 0.500 0.729 0.577
6 O 0.500 0.771 0.923
7 O 0.000 0.853 0.146
8 O 0.000 0.647 0.354
9 O 0.000 0.147 0.854
10 O 0.000 0.353 0.646
11 O 0.500 0.229 0.077
12 O 0.500 0.271 0.423

## Properties
formation energy (no corrections): -0.07 eV per atom
ΔE to the lowest computed polymorph: 2 meV per atom
symmetry: No. 10

Entry 7:
Entry from Alexandria: a geometry-optimized CoPPt2 structure (PBE).

a = 3.806 Å, b = 3.807 Å, c = 3.850 Å
α = 90.00°, β = 90.00°, γ = 90.00°
Fractional positions:
1 Co 0.500 0.000 0.500
2 P 0.000 0.500 0.500
3 Pt 0.000 0.000 0.000
4 Pt 0.500 0.500 0.000

## Properties
calculated formation energy: 44.3 meV/atom
symmetry: No. 123

Entry 8:
Entry from Alexandria: a geometry-optimized RbPuHgTe3 structure (PBE).

a = 4.600 Å, b = 9.544 Å, c = 11.072 Å
α = 108.73°, β = 90.00°, γ = 90.00°
Fractional positions:
1 Rb 0.250 0.229 0.260
2 Rb 0.750 0.771 0.740
3 Pu 0.250 0.680 0.140
4 Pu 0.750 0.320 0.860
5 Hg 0.250 0.090 0.619
6 Hg 0.750 0.910 0.381
7 Te 0.750 0.903 0.125
8 Te 0.250 0.097 0.875
9 Te 0.250 0.765 0.451
10 Te 0.750 0.235 0.549
11 Te 0.750 0.466 0.153
12 Te 0.250 0.534 0.847

## Properties
formation energy (no corrections): -0.77 eV per atom
symmetry: No. 11

no.,electronic total energy (eV per cell),total magnetization (μB per cell),DOS(E_F) (states/eV/cell)
1,-27.7,2.1,4.2
2,-12.2,0.0,1.4
3,-78.1,6.0,18.6
4,-18.8,0.9,10.1
5,-40.4,0.0,3.4
6,-49.3,0.0,1.1
7,-24.4,1.9,2.1
8,-59.3,10.0,26.6